1) Compound: Li2BeCl
Source: Alexandria via LeMat-Bulk
Functional: PBE-GGA
Structure: relaxed

* crystal system: tetragonal

Unit cell a=4.4790 b=4.4790 c=3.1697 alpha=90.00 beta=90.00 gamma=90.00
Last column: nearest neighbours and their distance in Å.
Space group P4/mmm (No. 123)
Unique sites:
Li 0.0000 0.5000 0.0000 (multiplicity 2)  4 Cl 2.74, 4 Be 2.74
Be 0.0000 0.0000 0.5000 (multiplicity 1)  8 Li 2.74
Cl 0.5000 0.5000 0.5000 (multiplicity 1)  8 Li 2.74

---

2) Compound: Li2BeCl
Source: Alexandria via LeMat-Bulk
Functional: PBE-GGA
Structure: relaxed

* crystal system: cubic

Unit cell a=6.6035 b=6.6035 c=6.6035 alpha=90.00 beta=90.00 gamma=90.00
Last column: nearest neighbours and their distance in Å.
Space group Fm-3m (No. 225)
Unique sites:
Li 0.2500 0.2500 0.2500 (multiplicity 8)  4 Cl 2.86, 4 Be 2.86
Be 0.0000 0.0000 0.0000 (multiplicity 4)  8 Li 2.86
Cl 0.0000 0.0000 0.5000 (multiplicity 4)  8 Li 2.86

---

Which is most stable? The ranking, best first, is 1), 2).

---

1) Compound: B5C7
Source: Alexandria via LeMat-Bulk
Functional: PBE-GGA
Structure: relaxed

* crystal system: monoclinic

Unit cell a=14.0082 b=2.6472 c=4.5925 alpha=90.00 beta=108.48 gamma=90.00
Last column: nearest neighbours and their distance in Å.
Space group Cm (No. 8)
Unique sites:
B 0.0000 0.0000 0.0000 (multiplicity 2)  4 C 1.62-1.68
B 0.0010 0.5000 0.5092 (multiplicity 2)  4 C 1.61-1.68
B 0.1353 0.0000 0.7992 (multiplicity 2)  3 C 1.54-1.56
B 0.1723 0.5000 0.3458 (multiplicity 2)  4 C 1.63-1.68
B 0.3164 0.0000 0.9906 (multiplicity 2)  3 C 1.59-1.60
C 0.1221 0.0000 0.1232 (multiplicity 2)  4 B 1.56-1.68
C 0.1222 0.5000 0.6213 (multiplicity 2)  4 B 1.54-1.63
C 0.2948 0.5000 0.4691 (multiplicity 2)  3 C 1.56-1.60, 1 B 1.63
C 0.3348 0.0000 0.6642 (multiplicity 2)  3 C 1.51-1.60, 1 B 1.60
C 0.3375 0.5000 0.1942 (multiplicity 2)  2 C 1.50-1.56, 2 B 1.59
C 0.4483 0.0000 0.7886 (multiplicity 2)  1 C 1.51, 3 B 1.67
C 0.4501 0.5000 0.2888 (multiplicity 2)  1 C 1.50

---

2) Compound: B5C7
Source: Alexandria via LeMat-Bulk
Functional: PBE-GGA
Structure: relaxed

* crystal system: monoclinic

Unit cell a=4.3855 b=2.6037 c=6.8527 alpha=90.00 beta=90.52 gamma=90.00
Last column: nearest neighbours and their distance in Å.
Space group Pm (No. 6)
Unique sites:
B 0.0000 0.0000 0.0000 (multiplicity 1)  3 C 1.62-1.66, 1 B 1.72
B 0.0414 0.0000 0.7507 (multiplicity 1)  1 C 1.64, 1 B 1.72
B 0.4194 0.5000 0.7389 (multiplicity 1)  2 C 1.58, 1 B 1.74
B 0.4834 0.5000 0.9896 (multiplicity 1)  3 C 1.64-1.66, 1 B 1.74
B 0.8047 0.5000 0.6236 (multiplicity 1)  1 C 1.59
C 0.1509 0.5000 0.1038 (multiplicity 1)  1 C 1.49, 3 B 1.62-1.66
C 0.1552 0.5000 0.3212 (multiplicity 1)  4 C 1.49-1.58
C 0.3245 0.0000 0.3971 (multiplicity 1)  4 C 1.51-1.58
C 0.3504 0.0000 0.6166 (multiplicity 1)  1 C 1.51, 3 B 1.58-1.64
C 0.6491 0.0000 0.0886 (multiplicity 1)  1 C 1.52, 3 B 1.64-1.66
C 0.6532 0.0000 0.3106 (multiplicity 1)  4 C 1.52-1.59
C 0.8175 0.5000 0.3917 (multiplicity 1)  3 C 1.56-1.59, 1 B 1.59

---

Which is most stable? The ranking, best first, is 1), 2).

---

1) Compound: SrReGe3
Source: Alexandria via LeMat-Bulk
Functional: PBE-GGA
Structure: relaxed

* crystal system: cubic

Unit cell a=4.9148 b=4.9148 c=4.9148 alpha=90.00 beta=90.00 gamma=90.00
Last column: nearest neighbours and their distance in Å.
Space group Pm-3m (No. 221)
Unique sites:
Sr 0.0000 0.0000 0.0000 (multiplicity 1)  12 Ge 3.48
Re 0.5000 0.5000 0.5000 (multiplicity 1)  6 Ge 2.46
Ge 0.0000 0.5000 0.5000 (multiplicity 3)  2 Re 2.46

---

2) Compound: SrReGe3
Source: Alexandria via LeMat-Bulk
Functional: PBE-GGA
Structure: relaxed

* crystal system: cubic

Unit cell a=5.2328 b=5.2328 c=5.2328 alpha=90.00 beta=90.00 gamma=90.00
Last column: nearest neighbours and their distance in Å.
Space group Pm-3m (No. 221)
Unique sites:
Sr 0.0000 0.0000 0.0000 (multiplicity 1)  6 Ge 2.62
Re 0.5000 0.5000 0.5000 (multiplicity 1)  12 Ge 3.70
Ge 0.0000 0.0000 0.5000 (multiplicity 3)  2 Sr 2.62

---

Which is most stable? The ranking, best first, is 1), 2).

---

1) Compound: Ta2MoAsOs
Source: Alexandria via LeMat-Bulk
Functional: PBE-GGA
Structure: relaxed

* crystal system: tetragonal

Unit cell a=4.8163 b=4.8163 c=4.7345 alpha=90.00 beta=90.00 gamma=90.00
Last column: nearest neighbours and their distance in Å.
Space group P4/mmm (No. 123)
Unique sites:
Ta 0.0000 0.5000 0.0000 (multiplicity 2)  2 Mo 2.41
Mo 0.0000 0.0000 0.0000 (multiplicity 1)  2 Os 2.37, 4 Ta 2.41
As 0.5000 0.5000 0.5000 (multiplicity 1)  8 Ta 3.38, 4 Os 3.41
Os 0.0000 0.0000 0.5000 (multiplicity 1)  2 Mo 2.37

---

2) Compound: Ta2MoAsOs
Source: Alexandria via LeMat-Bulk
Functional: PBE-GGA
Structure: relaxed

* crystal system: tetragonal

Unit cell a=4.6443 b=4.6443 c=4.4891 alpha=90.00 beta=90.00 gamma=90.00
Last column: nearest neighbours and their distance in Å.
Space group P4/mmm (No. 123)
Unique sites:
Ta 0.0000 0.5000 0.0000 (multiplicity 2)  2 As 2.32
Mo 0.0000 0.0000 0.5000 (multiplicity 1)  2 As 2.24
As 0.0000 0.0000 0.0000 (multiplicity 1)  2 Mo 2.24, 4 Ta 2.32
Os 0.5000 0.5000 0.5000 (multiplicity 1)  8 Ta 3.23, 4 Mo 3.28

---

Which is most stable? The ranking, best first, is 2), 1).

---

1) Compound: Er2CuAg
Source: Alexandria via LeMat-Bulk
Functional: PBE-GGA
Structure: relaxed

* crystal system: tetragonal

Unit cell a=3.5078 b=3.5078 c=7.0981 alpha=90.00 beta=90.00 gamma=90.00
Last column: nearest neighbours and their distance in Å.
Space group P4/mmm (No. 123)
Unique sites:
Er 0.0000 0.0000 0.2361 (multiplicity 2)  4 Cu 2.99, 4 Ag 3.11, 1 Er 3.35
Cu 0.5000 0.5000 0.0000 (multiplicity 1)  8 Er 2.99
Ag 0.5000 0.5000 0.5000 (multiplicity 1)  8 Er 3.11

---

2) Compound: Er2CuAg
Source: Alexandria via LeMat-Bulk
Functional: PBE-GGA
Structure: relaxed

* crystal system: cubic

Unit cell a=7.0603 b=7.0603 c=7.0603 alpha=90.00 beta=90.00 gamma=90.00
Last column: nearest neighbours and their distance in Å.
Space group Fm-3m (No. 225)
Unique sites:
Er 0.2500 0.2500 0.2500 (multiplicity 8)  4 Cu 3.06, 4 Ag 3.06
Cu 0.0000 0.0000 0.0000 (multiplicity 4)  8 Er 3.06
Ag 0.0000 0.0000 0.5000 (multiplicity 4)  8 Er 3.06

---

Which is most stable? The ranking, best first, is 1), 2).